# 1
DFT (PBE) results for a relaxed structure of SrCdGa.

Properties
For the raw total energy, the calculation gives -6.77 eV/cell. Its density of states at the Fermi level is 1.70 states/eV/cell. As for the space-group type: P-6m2, No. 187.

Unit cell a=4.017 b=4.865 c=4.865 alpha=120.00 beta=90.00 gamma=90.00
Element x y z (fractional)
Ga: 0.166 0.000 0.000
Sr: 0.667 0.667 0.333
Cd: 0.167 0.333 0.667

# 2
DFT (PBE) results for a relaxed structure of Sr2Cd3Ga2.

Properties
For the raw total energy, the calculation gives -14.00 eV/cell. Its density of states at the Fermi level is 3.55 states/eV/cell. As for the space-group type: Cmmm, No. 65. As for the distance to the lowest polymorph of the same formula: 30 meV per atom.

Unit cell a=3.721 b=4.415 c=11.743 alpha=100.83 beta=90.00 gamma=90.00
Element x y z (fractional)
Sr: 0.000 0.846 0.693
Ga: 0.500 0.721 0.443
Cd: 0.000 0.000 0.000
Sr: 0.000 0.154 0.307
Cd: 0.500 0.434 0.869
Ga: 0.500 0.279 0.557
Cd: 0.500 0.566 0.131

# 3
DFT (PBE) results for a relaxed structure of SrCd4Ga.

Properties
For the raw total energy, the calculation gives -9.13 eV/cell. Its density of states at the Fermi level is 1.98 states/eV/cell. As for the space-group type: F-43m, No. 216. As for the distance to the lowest polymorph of the same formula: 95 meV per atom.

Unit cell a=6.047 b=6.047 c=6.047 alpha=60.00 beta=60.00 gamma=60.00
Element x y z (fractional)
Cd: 0.625 0.625 0.625
Ga: 0.250 0.250 0.250
Cd: 0.126 0.625 0.625
Sr: 0.000 0.000 0.000
Cd: 0.625 0.625 0.126
Cd: 0.625 0.126 0.625

# 4
DFT (PBE) results for a relaxed structure of Sr3Cd3Ga8.

Properties
For the raw total energy, the calculation gives -37.20 eV/cell. Its density of states at the Fermi level is 4.12 states/eV/cell. As for the space-group type: Immm, No. 71.

Unit cell a=4.540 b=8.906 c=8.906 alpha=68.87 beta=75.23 gamma=75.23
Element x y z (fractional)
Ga: 0.162 0.208 0.468
Ga: 0.345 0.383 0.926
Ga: 0.838 0.532 0.792
Ga: 0.345 0.926 0.383
Sr: 0.197 0.803 0.803
Sr: 0.500 0.500 0.500
Cd: 0.500 0.000 0.000
Sr: 0.803 0.197 0.197
Ga: 0.162 0.468 0.208
Ga: 0.655 0.074 0.617
Ga: 0.655 0.617 0.074
Ga: 0.838 0.792 0.532
Cd: 0.000 0.796 0.204
Cd: 0.000 0.204 0.796

# 5
DFT (PBE) results for a relaxed structure of Sr3Cd9Ga2.

Properties
For the raw total energy, the calculation gives -23.01 eV/cell. Its density of states at the Fermi level is 7.05 states/eV/cell. As for the space-group type: Immm, No. 71.

Unit cell a=4.892 b=9.164 c=9.164 alpha=70.75 beta=74.52 gamma=74.52
Element x y z (fractional)
Cd: 0.000 0.500 0.500
Sr: 0.307 0.693 0.693
Cd: 0.338 0.300 0.024
Cd: 0.130 0.587 0.152
Ga: 0.500 0.302 0.698
Cd: 0.130 0.152 0.587
Cd: 0.870 0.413 0.848
Cd: 0.662 0.700 0.976
Ga: 0.500 0.698 0.302
Cd: 0.338 0.024 0.300
Sr: 0.000 0.000 0.000
Sr: 0.693 0.307 0.307
Cd: 0.662 0.976 0.700
Cd: 0.870 0.848 0.413

# 6
DFT (PBE) results for a relaxed structure of SrCdGa2.

Properties
For the raw total energy, the calculation gives -40.56 eV/cell. Its density of states at the Fermi level is 5.85 states/eV/cell. As for the space-group type: Pnma, No. 62.

Unit cell a=4.372 b=8.152 c=11.233 alpha=90.00 beta=90.00 gamma=90.00
Element x y z (fractional)
Ga: 0.250 0.666 0.337
Ga: 0.750 0.762 0.433
Ga: 0.250 0.238 0.567
Ga: 0.750 0.334 0.663
Cd: 0.250 0.510 0.114
Sr: 0.250 0.639 0.640
Ga: 0.250 0.738 0.933
Cd: 0.250 0.010 0.386
Sr: 0.250 0.139 0.860
Cd: 0.750 0.490 0.886
Ga: 0.750 0.262 0.067
Ga: 0.250 0.166 0.163
Cd: 0.750 0.990 0.614
Sr: 0.750 0.861 0.140
Sr: 0.750 0.361 0.360
Ga: 0.750 0.834 0.837

# 7
DFT (PBE) results for a relaxed structure of SrCdGa2.

Properties
For the raw total energy, the calculation gives -18.40 eV/cell. Its density of states at the Fermi level is 3.51 states/eV/cell. As for the space-group type: I-42d, No. 122.

Unit cell a=4.936 b=4.936 c=10.148 alpha=75.92 beta=75.92 gamma=90.00
Element x y z (fractional)
Sr: 0.500 0.500 0.000
Cd: 0.000 0.000 0.000
Ga: 0.375 0.215 0.750
Cd: 0.750 0.250 0.500
Sr: 0.250 0.750 0.500
Ga: 0.875 0.035 0.750
Ga: 0.965 0.625 0.250
Ga: 0.785 0.125 0.250

# 8
DFT (PBE) results for a relaxed structure of Sr5Cd2Ga2.

Properties
For the raw total energy, the calculation gives -37.73 eV/cell. Its density of states at the Fermi level is 19.58 states/eV/cell. As for the space-group type: Cmce, No. 64.

Unit cell a=8.329 b=8.646 c=9.826 alpha=90.00 beta=64.92 gamma=90.00
Element x y z (fractional)
Cd: 0.711 0.500 0.577
Sr: 0.455 0.180 0.734
Cd: 0.211 0.000 0.577
Sr: 0.000 0.000 0.000
Cd: 0.289 0.500 0.423
Sr: 0.955 0.320 0.734
Ga: 0.898 0.608 0.000
Ga: 0.602 0.108 0.000
Sr: 0.688 0.320 0.266
Ga: 0.398 0.892 0.000
Sr: 0.545 0.820 0.266
Sr: 0.500 0.500 0.000
Cd: 0.789 0.000 0.423
Sr: 0.812 0.820 0.734
Sr: 0.045 0.680 0.266
Ga: 0.102 0.392 0.000
Sr: 0.312 0.680 0.734
Sr: 0.188 0.180 0.266

# 9
DFT (PBE) results for a relaxed structure of SrCdGa.

Properties
For the raw total energy, the calculation gives -13.58 eV/cell. Its density of states at the Fermi level is 2.83 states/eV/cell. As for the space-group type: Pmma, No. 51.

Unit cell a=4.318 b=4.632 c=8.471 alpha=90.00 beta=90.00 gamma=90.00
Element x y z (fractional)
Cd: 0.812 0.216 0.301
Ga: 0.811 0.216 0.973
Sr: 0.312 0.216 0.665
Cd: 0.812 0.716 0.492
Sr: 0.312 0.716 0.128
Ga: 0.811 0.716 0.820

# 10
DFT (PBE) results for a relaxed structure of Sr2CdGa.

Properties
For the raw total energy, the calculation gives -14.86 eV/cell. Its density of states at the Fermi level is 10.48 states/eV/cell. As for the space-group type: I-42d, No. 122.

Unit cell a=8.803 b=8.803 c=7.292 alpha=52.87 beta=52.87 gamma=90.00
Element x y z (fractional)
Ga: 0.500 0.500 0.000
Sr: 0.609 0.125 0.250
Cd: 0.000 0.000 0.000
Sr: 0.141 0.625 0.250
Ga: 0.250 0.750 0.500
Sr: 0.375 0.391 0.750
Cd: 0.750 0.250 0.500
Sr: 0.875 0.859 0.750

# 11
DFT (PBE) results for a relaxed structure of Sr2Cd5Ga3.

Properties
For the raw total energy, the calculation gives -20.03 eV/cell. Its density of states at the Fermi level is 5.08 states/eV/cell. As for the space-group type: P-4m2, No. 115.

Unit cell a=4.586 b=4.586 c=12.021 alpha=90.00 beta=90.00 gamma=90.00
Element x y z (fractional)
Cd: 0.500 0.000 0.848
Sr: 0.000 0.500 0.729
Sr: 0.500 0.000 0.271
Cd: 0.000 0.000 0.000
Cd: 0.000 0.500 0.152
Cd: 0.500 0.500 0.000
Cd: 0.500 0.500 0.500
Ga: 0.500 0.000 0.625
Ga: 0.000 0.000 0.500
Ga: 0.000 0.500 0.375

# 12
DFT (PBE) results for a relaxed structure of SrTaCd2Ga.

Properties
For the raw total energy, the calculation gives -13.25 eV/cell. Its density of states at the Fermi level is 4.65 states/eV/cell. As for the space-group type: P4/mmm, No. 123.

Unit cell a=5.049 b=5.731 c=5.049 alpha=90.00 beta=90.00 gamma=90.00
Element x y z (fractional)
Cd: 0.500 0.000 0.000
Ga: 0.000 0.000 0.000
Cd: 0.000 0.000 0.500
Sr: 0.000 0.500 0.000
Ta: 0.500 0.500 0.500